First-principles (PBE) data for a relaxed structure of TaCdIn2Mo, as listed in Alexandria via LeMat-Bulk.

abc: 5.0615 5.0615 5.2737
angles: 90.00 90.00 90.00
Last column: nearest neighbours and their distance in Å.
Fractional positions:
Ta 0.0000 0.0000 0.0000  2 Cd 2.64
Cd 0.0000 0.0000 0.5000  4 In 2.53, 2 Ta 2.64
In 0.0000 0.5000 0.5000  2 Cd 2.53
In 0.5000 0.0000 0.5000  2 Cd 2.53
Mo 0.5000 0.5000 0.0000  4 Ta 3.58, 8 In 3.65

Formation energy from the elements ... 1834 meV per atom
Symmetry ... P4/mmm (123)